The following is a DFT calculation (PBE) of a relaxed structure of Cd3CuO.

Cell and atoms, written as extended XYZ:
```
5
Lattice="4.9192 0.0000 0.0000 0.0000 4.9192 0.0000 0.0000 0.0000 4.9192" Properties=species:S:1:pos:R:3 pbc="T T T"
Cd 0.0000 0.0000 2.4596
Cd 0.0000 2.4596 0.0000
Cd 2.4596 0.0000 0.0000
Cu 0.0000 0.0000 0.0000
O 2.4596 2.4596 2.4596
```

Results
total magnetization: 0.000 μB per formula unit
final energy: -1.84 eV/atom
V: 23.81 Å³/atom